[1]
Below is a relaxed structure of Y2B2Os2C, with properties calculated at the PBE level.

Unit cell a=10.838 b=3.700 c=6.622 alpha=90.00 beta=126.62 gamma=90.00
Fractional coordinates of all 14 atoms:
1 Y 0.066 0.000 0.321
2 Y 0.434 0.500 0.679
3 Y 0.566 0.500 0.321
4 Y 0.934 0.000 0.679
5 B 0.183 0.500 0.744
6 B 0.317 0.000 0.256
7 B 0.683 0.000 0.744
8 B 0.817 0.500 0.256
9 Os 0.206 0.500 0.104
10 Os 0.294 0.000 0.896
11 Os 0.706 0.000 0.104
12 Os 0.794 0.500 0.896
13 C 0.000 0.500 0.000
14 C 0.500 0.000 0.000

**Uncorrected energy**: -8.758 eV/atom


[2]
Below is a relaxed structure of K2Ru, with properties calculated at the PBE level.

Unit cell a=2.845 b=19.625 c=5.942 alpha=90.00 beta=90.00 gamma=90.00
Fractional coordinates of all 12 atoms:
1 K 0.000 0.041 0.250
2 K 0.000 0.288 0.750
3 K 0.000 0.712 0.250
4 K 0.000 0.959 0.750
5 K 0.500 0.212 0.250
6 K 0.500 0.459 0.750
7 K 0.500 0.541 0.250
8 K 0.500 0.788 0.750
9 Ru 0.000 0.376 0.250
10 Ru 0.000 0.624 0.750
11 Ru 0.500 0.124 0.750
12 Ru 0.500 0.876 0.250

**Offset from the most stable computed form**: 0.577 eV/atom


[3]
Below is a relaxed structure of Be2AlW, with properties calculated at the PBE level.

Unit cell a=2.721 b=3.831 c=4.876 alpha=90.00 beta=90.00 gamma=90.00
Fractional coordinates of all 4 atoms:
1 Be 0.000 0.000 0.211
2 Be 0.000 0.000 0.789
3 Al 0.000 0.500 0.500
4 W 0.500 0.500 0.000

**Uncorrected energy**: -5.925 eV/atom


[4]
Below is a relaxed structure of AcPr2Tm3, with properties calculated at the PBE level.

Unit cell a=6.581 b=6.581 c=11.563 alpha=90.00 beta=90.00 gamma=120.00
Fractional coordinates of all 12 atoms:
1 Ac 0.333 0.667 0.456
2 Ac 0.667 0.333 0.544
3 Pr 0.000 0.000 0.000
4 Pr 0.000 0.000 0.500
5 Pr 0.333 0.667 0.039
6 Pr 0.667 0.333 0.961
7 Tm 0.167 0.335 0.755
8 Tm 0.167 0.833 0.755
9 Tm 0.335 0.167 0.245
10 Tm 0.665 0.833 0.755
11 Tm 0.833 0.167 0.245
12 Tm 0.833 0.665 0.245

**Uncorrected energy**: -4.255 eV/atom


no.,magnetic moment (μB/f.u.),mass density (g cm⁻³)
1,0.000,9.2
2,1.007,3.6
3,0.000,7.5
4,0.000,7.8